Entry 1:
# CeAlGa2Ag

A relaxed structure of CeAlGa2Ag (PBE, the Alexandria database).

It has space group I-4m2 (No. 119), with a = 4.250 Å, b = 4.250 Å, c = 11.111 Å, α = 90.00°, β = 90.00° and γ = 90.00°. The distinct sites, in fractional coordinates, are Ce at (0.000, 0.000, 0.000), Al at (0.000, 0.500, 0.250), Ga at (0.000, 0.000, 0.389) and Ag at (0.000, 0.500, 0.750).

The value obtained for the formation energy is -0.42 eV per atom. Its total magnetization is 0.9 μB per formula unit. As for the energy: -4.14 eV/atom.

Entry 2:
# TlTcBr2

A relaxed structure of TlTcBr2 (PBE, the Alexandria database).

It has space group P4/mmm (No. 123), with a = 3.533 Å, b = 3.533 Å, c = 8.285 Å, α = 90.00°, β = 90.00° and γ = 90.00°. The distinct sites, in fractional coordinates, are Tl at (0.000, 0.000, 0.000), Tc at (0.000, 0.000, 0.500) and Br at (0.500, 0.500, 0.294).

For the formation energy without anion corrections, the calculation gives 0.310 eV/atom. Its total magnetization is 4.0 μB per formula unit. As for the energy: -3.71 eV/atom.

Entry 3:
# Dy5PuRu4

A relaxed structure of Dy5PuRu4 (PBE, the Alexandria database).

It has space group C2/m (No. 12), with a = 14.867 Å, b = 4.702 Å, c = 6.743 Å, α = 90.00°, β = 99.03° and γ = 90.00°. The distinct sites, in fractional coordinates, are Dy at (0.000, 0.000, 0.000), Dy at (0.166, 0.500, 0.031), Dy at (0.170, 0.500, 0.531), Pu at (0.000, 0.000, 0.500), Ru at (0.002, 0.500, 0.732) and Ru at (0.150, 0.000, 0.758).

The value obtained for the formation energy is -0.26 eV per atom. Its total magnetization is 3.6 μB per formula unit. As for the energy: -7.71 eV/atom.

Entry 4:
# YReCl3

A relaxed structure of YReCl3 (PBE, the Alexandria database).

It has space group Pm-3m (No. 221), with a = 5.350 Å, b = 5.350 Å, c = 5.350 Å, α = 90.00°, β = 90.00° and γ = 90.00°. The distinct sites, in fractional coordinates, are Y at (0.000, 0.000, 0.000), Re at (0.500, 0.500, 0.500) and Cl at (0.000, 0.000, 0.500).

For the formation energy without anion corrections, the calculation gives -0.193 eV/atom. Its total magnetization is 5.0 μB per formula unit. As for the energy: -5.08 eV/atom.

Entry 5:
# ZrTi4Rh

A relaxed structure of ZrTi4Rh (PBE, the Alexandria database).

It has space group C2/m (No. 12), with a = 9.783 Å, b = 4.554 Å, c = 5.589 Å, α = 90.00°, β = 123.19° and γ = 90.00°. The distinct sites, in fractional coordinates, are Zr at (0.000, 0.000, 0.000), Ti at (0.157, 0.500, 0.815), Ti at (0.198, 0.500, 0.340) and Rh at (0.000, 0.000, 0.500).

The value obtained for the formation energy is -0.27 eV per atom. Its total magnetization is 0.0 μB per formula unit. As for the energy: -8.18 eV/atom.

Entry 6:
# KAl3O

A relaxed structure of KAl3O (PBE, the Alexandria database).

It has space group Pm-3m (No. 221), with a = 5.915 Å, b = 5.915 Å, c = 5.915 Å, α = 90.00°, β = 90.00° and γ = 90.00°. The distinct sites, in fractional coordinates, are K at (0.000, 0.000, 0.000), Al at (0.000, 0.000, 0.500) and O at (0.500, 0.500, 0.500).

For the formation energy without anion corrections, the calculation gives 1.873 eV/atom. Its total magnetization is 0.0 μB per formula unit. As for the energy: -1.58 eV/atom.

Entry 7:
# In2ReHg

A relaxed structure of In2ReHg (PBE, the Alexandria database).

It has space group Pmm2 (No. 25), with a = 3.066 Å, b = 4.468 Å, c = 5.924 Å, α = 90.00°, β = 90.00° and γ = 90.00°. The distinct sites, in fractional coordinates, are In at (0.000, 0.000, 0.000), In at (0.500, 0.500, 0.304), Re at (0.000, 0.000, 0.491) and Hg at (0.500, 0.500, 0.777).

The value obtained for the formation energy is 0.64 eV per atom. Its total magnetization is 0.0 μB per formula unit. As for the energy: -3.91 eV/atom.

Entry 8:
# ZrTl2HgSe4

A relaxed structure of ZrTl2HgSe4 (PBE, the Alexandria database).

It has space group P2/m (No. 10), with a = 7.463 Å, b = 4.002 Å, c = 8.017 Å, α = 90.00°, β = 109.85° and γ = 90.00°. The distinct sites, in fractional coordinates, are Zr at (0.000, 0.000, 0.000), Tl at (0.000, 0.500, 0.500), Tl at (0.500, 0.000, 0.500), Hg at (0.500, 0.500, 0.000), Se at (0.204, 0.500, 0.212) and Se at (0.252, 0.000, 0.812).

For the formation energy without anion corrections, the calculation gives -0.655 eV/atom. Its total magnetization is 0.0 μB per formula unit. As for the energy: -4.09 eV/atom.

Entry 9:
# InNi6P

A relaxed structure of InNi6P (PBE, the Alexandria database).

It has space group R-3m (No. 166, hexagonal axes), with a = 4.0538 Å, b = 4.0538 Å, c = 20.2373 Å, α = 90.00°, β = 90.00° and γ = 120.00°. The distinct sites, in fractional coordinates, are In at (0.0000, 0.0000, 0.0000), Ni at (0.0000, 0.0000, 0.1360), Ni at (0.0000, 0.0000, 0.2594), Ni at (0.0000, 0.0000, 0.3946) and P at (0.0000, 0.0000, 0.5000).

The value obtained for the formation energy is -0.18 eV per atom. Its total magnetization is 0.0 μB per formula unit. As for the energy: -5.54 eV/atom.

Entry 10:
# Er3Ni6Ge5

A relaxed structure of Er3Ni6Ge5 (PBE, the Alexandria database).

It has space group Pmmn (No. 59, origin choice 2), with a = 3.978 Å, b = 12.167 Å, c = 9.155 Å, α = 90.00°, β = 90.00° and γ = 90.00°. The distinct sites, in fractional coordinates, are Er at (0.250, 0.077, 0.244), Er at (0.250, 0.750, 0.248), Ni at (0.250, 0.059, 0.590), Ni at (0.250, 0.250, 0.000), Ni at (0.250, 0.250, 0.494), Ni at (0.250, 0.583, 0.001), Ge at (0.250, 0.084, 0.855), Ge at (0.250, 0.632, 0.528) and Ge at (0.250, 0.750, 0.849).

The value obtained for the formation energy is -0.67 eV per atom. Its total magnetization is 0.0 μB per formula unit. As for the energy: -5.78 eV/atom.

Entry 11:
# NbTcP

A relaxed structure of NbTcP (PBE, the Alexandria database).

It has space group Cm (No. 8), with a = 9.557 Å, b = 3.162 Å, c = 6.103 Å, α = 90.00°, β = 101.08° and γ = 90.00°. The distinct sites, in fractional coordinates, are Nb at (0.000, 0.000, 0.000), Nb at (0.237, 0.500, 0.285), Tc at (0.156, 0.500, 0.721), Tc at (0.373, 0.000, 0.619), P at (0.029, 0.000, 0.431) and P at (0.289, 0.000, 0.986).

The value obtained for the formation energy is -0.52 eV per atom. Its total magnetization is 0.0 μB per formula unit. As for the energy: -9.14 eV/atom.

Entry 12:
# BaLi2HfMn

A relaxed structure of BaLi2HfMn (PBE, the Alexandria database).

It has space group P4/mmm (No. 123), with a = 4.582 Å, b = 4.582 Å, c = 5.591 Å, α = 90.00°, β = 90.00° and γ = 90.00°. The distinct sites, in fractional coordinates, are Ba at (0.000, 0.000, 0.000), Li at (0.000, 0.500, 0.000), Hf at (0.000, 0.000, 0.500) and Mn at (0.500, 0.500, 0.500).

The value obtained for the formation energy is 2.00 eV per atom. Its total magnetization is 0.3 μB per formula unit. As for the energy: -2.98 eV/atom.